Computed, not measured: crystalline MnMoI2O at its relaxed geometry at the GGA+U level of DFT.

It has space group P4/mmm (No. 123), with a = 6.0063 Å, b = 6.0063 Å, c = 3.9377 Å, α = 90.00°, β = 90.00° and γ = 90.00°. The inequivalent atoms are Mn at (0.0000, 0.0000, 0.0000), Mo at (0.5000, 0.5000, 0.5000), I at (0.0000, 0.5000, 0.5000) and O at (0.5000, 0.5000, 0.0000).

The value obtained for the density is 4.92 Mg/m³. The calculation puts the relative energy among the computed polymorphs at 0 meV/atom.